No. 1
A plane-wave DFT calculation with PBE was carried out for a geometry-optimized CdTePbO structure.

abc: 7.1597 8.3364 6.8861
angles: 90.00 90.00 90.00
With the nearest neighbours (Å) after each atom.
Space group Pca2_1 (No. 29)
One atom of each set of equivalent atoms:
Cd: 0.0945 0.1566 0.0000 x4  1 O 2.19
Te: 0.0125 0.1594 0.5841 x4  3 Cd 2.80-2.92
Pb: 0.1786 0.5568 0.8508 x4  2 O 2.33-2.38
O: 0.0075 0.4023 0.0695 x4  1 Cd 2.19, 2 Pb 2.33-2.38

Results
Energy above the lowest structure with this stoichiometry, meV/atom: 20

---

No. 2
A plane-wave DFT calculation with PBE was carried out for a geometry-optimized B2PW2 structure.

abc: 3.0354 11.6632 3.0739
angles: 90.00 90.00 90.00
With the nearest neighbours (Å) after each atom.
Space group Cmmm (No. 65)
One atom of each set of equivalent atoms:
B: 0.0000 0.2126 0.0000 x4  2 B 1.75
P: 0.0000 0.0000 0.0000 x2  2 B 2.48, 8 W 2.66
W: 0.0000 0.3663 0.5000 x4  6 B 2.35-2.36

Results
Electronic total energy, eV for the cell shown: -90.5

---

No. 3
A plane-wave DFT calculation with PBE was carried out for a geometry-optimized SrHgSeO structure.

abc: 4.3972 4.3972 9.4324
angles: 90.00 90.00 90.00
With the nearest neighbours (Å) after each atom.
Space group P4/nmm (No. 129, origin choice 2)
One atom of each set of equivalent atoms:
Sr: 0.2500 0.2500 0.2063 x2  5 Se 3.19, 4 O 3.54
Hg: 0.2500 0.2500 0.5893 x2  4 O 2.35, 1 Se 2.63
Se: 0.2500 0.2500 0.8681 x2  1 Hg 2.63
O: 0.2500 0.7500 0.5000 x2  4 Hg 2.35

Results
Energy above the lowest structure with this stoichiometry, meV/atom: 331

---

No. 4
A plane-wave DFT calculation with PBE was carried out for a geometry-optimized KNdCd structure.

abc: 7.5487 7.5487 7.5487
angles: 90.00 90.00 90.00
With the nearest neighbours (Å) after each atom.
Space group F-43m (No. 216)
One atom of each set of equivalent atoms:
K: 0.0000 0.0000 0.0000 x4  4 Cd 3.27, 4 Nd 3.27
Nd: 0.2500 0.2500 0.2500 x4  4 K 3.27
Cd: 0.2500 0.2500 0.7500 x4  4 K 3.27

Results
Electronic total energy, eV for the cell shown: -18.1

---

No. 5
A plane-wave DFT calculation with PBE was carried out for a geometry-optimized LaNpSc structure.

abc: 7.0248 7.0248 7.0248
angles: 90.00 90.00 90.00
With the nearest neighbours (Å) after each atom.
Space group F-43m (No. 216)
One atom of each set of equivalent atoms:
La: 0.0000 0.0000 0.0000 x4  4 Sc 3.04, 4 Np 3.04
Np: 0.2500 0.2500 0.7500 x4  4 La 3.04
Sc: 0.2500 0.2500 0.2500 x4  4 La 3.04

Results
Formation energy from the elements, meV/atom: 1027
Energy above the lowest structure with this stoichiometry, meV/atom: 0

---

No. 6
A plane-wave DFT calculation with PBE was carried out for a geometry-optimized AcNpCo structure.

abc: 6.7201 6.7201 6.7201
angles: 90.00 90.00 90.00
With the nearest neighbours (Å) after each atom.
Space group F-43m (No. 216)
One atom of each set of equivalent atoms:
Ac: 0.0000 0.0000 0.0000 x4  4 Np 2.91
Np: 0.2500 0.2500 0.2500 x4  4 Ac 2.91, 4 Co 2.91
Co: 0.0000 0.0000 0.5000 x4  4 Np 2.91

Results
Formation energy from the elements, meV/atom: 1248
Energy above the lowest structure with this stoichiometry, meV/atom: 0

---

No. 7
A plane-wave DFT calculation with PBE was carried out for a geometry-optimized DyCoIr structure.

abc: 6.2187 6.2187 6.2187
angles: 90.00 90.00 90.00
With the nearest neighbours (Å) after each atom.
Space group F-43m (No. 216)
One atom of each set of equivalent atoms:
Dy: 0.0000 0.0000 0.0000 x4  4 Ir 2.69
Co: 0.0000 0.0000 0.5000 x4  4 Ir 2.69
Ir: 0.2500 0.2500 0.2500 x4  4 Dy 2.69, 4 Co 2.69

Results
Formation energy from the elements, meV/atom: 57

---

No. 8
A plane-wave DFT calculation with PBE was carried out for a geometry-optimized CsHo2CS4 structure.

abc: 3.9778 3.9778 14.2452
angles: 90.00 90.00 120.00
With the nearest neighbours (Å) after each atom.
Space group P-6m2 (No. 187)
One atom of each set of equivalent atoms:
Cs: 0.0000 0.0000 0.0000 x1  6 S 3.45
Ho: 0.6667 0.3333 0.2863 x2  6 S 2.72-2.75
C: 0.3333 0.6667 0.5000 x1  6 S 2.79
S: 0.0000 0.0000 0.3889 x2  3 Ho 2.72, 3 C 2.79
S: 0.3333 0.6667 0.1807 x2  3 Ho 2.75

Results
Electronic total energy, eV for the cell shown: -40.9

---

No. 9
A plane-wave DFT calculation with PBE was carried out for a geometry-optimized ErTm2In3CuPt2 structure.

abc: 3.6756 13.3641 7.7081
angles: 90.00 90.00 90.00
With the nearest neighbours (Å) after each atom.
Space group Amm2 (No. 38)
One atom of each set of equivalent atoms:
Er: 0.0000 0.0000 0.0000 x2  4 Pt 2.98, 6 In 3.16-3.33, 1 Cu 3.17
Tm: 0.0000 0.2053 0.6159 x4  4 Pt 2.96, 2 In 3.16, 1 Cu 3.17
In: 0.5000 0.0000 0.6661 x2  2 Cu 2.69, 2 Pt 2.92
In: 0.5000 0.1280 0.2828 x4  2 Cu 2.70, 2 Pt 2.91-2.92
Cu: 0.0000 0.0000 0.4109 x2  6 In 2.69-2.70
Pt: 0.5000 0.1673 0.9104 x4  3 In 2.91-2.92, 4 Tm 2.96, 2 Er 2.98

Results
Electronic total energy, eV for the cell shown: -90.2

---

No. 10
A plane-wave DFT calculation with PBE was carried out for a geometry-optimized Lu2HfPb structure.

abc: 7.3523 7.3523 7.3523
angles: 90.00 90.00 90.00
With the nearest neighbours (Å) after each atom.
Space group F-43m (No. 216)
One atom of each set of equivalent atoms:
Lu: 0.0000 0.0000 0.0000 x4  4 Hf 3.18, 4 Lu 3.18
Lu: 0.2500 0.2500 0.2500 x4  4 Pb 3.18, 4 Lu 3.18
Hf: 0.2500 0.2500 0.7500 x4  4 Pb 3.18, 4 Lu 3.18
Pb: 0.0000 0.0000 0.5000 x4  4 Hf 3.18, 4 Lu 3.18

Results
Electronic total energy, eV for the cell shown: -89.1

---

No. 11
A plane-wave DFT calculation with PBE was carried out for a geometry-optimized CsInHg structure.

abc: 8.2031 8.2031 8.2031
angles: 90.00 90.00 90.00
With the nearest neighbours (Å) after each atom.
Space group F-43m (No. 216)
One atom of each set of equivalent atoms:
Cs: 0.0000 0.0000 0.0000 x4  4 Hg 3.55
In: 0.0000 0.0000 0.5000 x4  4 Hg 3.55
Hg: 0.2500 0.2500 0.2500 x4  4 In 3.55, 4 Cs 3.55

Results
Energy above the lowest structure with this stoichiometry, meV/atom: 0

---

No. 12
A plane-wave DFT calculation with PBE was carried out for a geometry-optimized SmTmAsO structure.

abc: 4.2733 4.2733 9.0068
angles: 90.00 90.00 90.00
With the nearest neighbours (Å) after each atom.
Space group P4/nmm (No. 129, origin choice 2)
One atom of each set of equivalent atoms:
Sm: 0.2500 0.7500 0.0000 x2  4 As 2.90, 4 Sm 3.02
Tm: 0.2500 0.2500 0.4054 x2  4 O 2.30
As: 0.2500 0.2500 0.7824 x2  4 Sm 2.90
O: 0.2500 0.7500 0.5000 x2  4 Tm 2.30

Results
Energy above the lowest structure with this stoichiometry, meV/atom: 176

---

No. 13
A plane-wave DFT calculation with PBE was carried out for a geometry-optimized BaNdGe structure.

abc: 4.9925 4.9925 20.1941
angles: 90.00 90.00 120.00
With the nearest neighbours (Å) after each atom.
Space group P6_3/mmc (No. 194)
One atom of each set of equivalent atoms:
Ba: 0.0000 0.0000 0.0000 x2  6 Ge 3.67, 6 Nd 4.05
Ba: 0.0000 0.0000 0.2500 x2  6 Nd 3.62, 6 Ge 4.01
Nd: 0.3333 0.6667 0.1412 x4  3 Ge 2.94
Ge: 0.3333 0.6667 0.6122 x4  3 Nd 2.94

Results
Electronic total energy, eV for the cell shown: -49.9

---

No. 14
A plane-wave DFT calculation with PBE was carried out for a geometry-optimized PaInGe structure.

abc: 6.8192 6.8192 6.8192
angles: 90.00 90.00 90.00
With the nearest neighbours (Å) after each atom.
Space group F-43m (No. 216)
One atom of each set of equivalent atoms:
Pa: 0.0000 0.0000 0.0000 x4  4 Ge 2.95
In: 0.0000 0.0000 0.5000 x4  4 Ge 2.95
Ge: 0.2500 0.2500 0.7500 x4  4 In 2.95, 4 Pa 2.95

Results
Energy above the lowest structure with this stoichiometry, meV/atom: 0

---

No. 15
A plane-wave DFT calculation with PBE was carried out for a geometry-optimized AgBiO2 structure.

abc: 7.2726 7.0569 5.8370
angles: 90.00 124.81 90.00
With the nearest neighbours (Å) after each atom.
Space group C2/c (No. 15)
One atom of each set of equivalent atoms:
Ag: 0.0000 0.1238 0.2500 x4  6 O 2.51-2.62
Bi: 0.0000 0.3678 0.7500 x4  4 O 2.15-2.37
O: 0.2089 0.4222 0.2370 x8  2 Bi 2.15-2.37

Results
Electronic total energy, eV for the cell shown: -78.1

---

No. 16
A plane-wave DFT calculation with PBE was carried out for a geometry-optimized GeOs2Pt structure.

abc: 6.2483 6.2483 6.2483
angles: 90.00 90.00 90.00
With the nearest neighbours (Å) after each atom.
Space group F-43m (No. 216)
One atom of each set of equivalent atoms:
Ge: 0.0000 0.0000 0.0000 x4  4 Os 2.71, 4 Pt 2.71
Os: 0.0000 0.0000 0.5000 x4  4 Os 2.71, 4 Pt 2.71
Os: 0.2500 0.2500 0.7500 x4  4 Ge 2.71, 4 Os 2.71
Pt: 0.2500 0.2500 0.2500 x4  4 Ge 2.71, 4 Os 2.71

Results
Electronic total energy, eV for the cell shown: -123.2

---

No. 17
A plane-wave DFT calculation with PBE was carried out for a geometry-optimized TaCdTe structure.

abc: 6.6739 6.6739 6.6739
angles: 90.00 90.00 90.00
With the nearest neighbours (Å) after each atom.
Space group F-43m (No. 216)
One atom of each set of equivalent atoms:
Ta: 0.0000 0.0000 0.0000 x4  4 Te 2.89
Cd: 0.0000 0.0000 0.5000 x4  4 Te 2.89
Te: 0.2500 0.2500 0.7500 x4  4 Ta 2.89, 4 Cd 2.89

Results
Energy above the lowest structure with this stoichiometry, meV/atom: 214

---

No. 18
A plane-wave DFT calculation with PBE was carried out for a geometry-optimized PrTmIn2Ir4 structure.

abc: 4.5770 4.5770 9.0288
angles: 90.00 90.00 120.00
With the nearest neighbours (Å) after each atom.
Space group P-6m2 (No. 187)
One atom of each set of equivalent atoms:
Pr: 0.0000 0.0000 0.0000 x1  8 Ir 3.07-3.23
Tm: 0.3333 0.6667 0.5000 x1  8 Ir 2.94-2.95
In: 0.6667 0.3333 0.2559 x2  6 Ir 2.74-2.80
Ir: 0.0000 0.0000 0.3575 x2  1 Ir 2.57, 3 In 2.80
Ir: 0.3333 0.6667 0.1737 x2  3 In 2.74, 1 Tm 2.95, 3 Pr 3.07

Results
Electronic total energy, eV for the cell shown: -53.2

---

No. 19
A plane-wave DFT calculation with PBE was carried out for a geometry-optimized TaRe3 structure.

abc: 3.9577 3.9577 8.0202
angles: 90.00 90.00 90.00
With the nearest neighbours (Å) after each atom.
Space group I4/mmm (No. 139)
One atom of each set of equivalent atoms:
Ta: 0.0000 0.0000 0.0000 x2  12 Re 2.80-2.82
Re: 0.0000 0.0000 0.5000 x2  4 Ta 2.80, 8 Re 2.82
Re: 0.0000 0.5000 0.2500 x4  8 Re 2.80-2.82, 4 Ta 2.82

Results
Formation energy from the elements, meV/atom: 92

---

No. 20
A plane-wave DFT calculation with PBE was carried out for a geometry-optimized ErSiPt2 structure.

abc: 5.4302 4.2153 6.5815
angles: 90.00 91.27 90.00
With the nearest neighbours (Å) after each atom.
Space group P2_1/m (No. 11)
One atom of each set of equivalent atoms:
Er: 0.1470 0.2500 0.2455 x2  8 Pt 2.91-3.19
Si: 0.3791 0.2500 0.7454 x2  6 Pt 2.45-2.57
Pt: 0.3296 0.7500 0.9645 x2  3 Si 2.45-2.57
Pt: 0.3335 0.7500 0.5448 x2  3 Si 2.49-2.50, 1 Pt 2.76

Results
Electronic total energy, eV for the cell shown: -52.0